# BeCdOs | OQMD via LeMat-Bulk | PBE | optimized geometry
# DFT total energy   -4.13 eV/atom
# Calculated density   9.8 Mg/m³
# Symmetry   F-43m
data_BeCdOs
_symmetry_space_group_name_H-M 'P 1'
_symmetry_Int_Tables_number 1
_symmetry_space_group_name_Hall 'P 1'
_cell_length_a 4.216
_cell_length_b 4.216
_cell_length_c 4.216
_cell_angle_alpha 60.00
_cell_angle_beta 60.00
_cell_angle_gamma 60.00
loop_
_atom_site_label
_atom_site_type_symbol
_atom_site_fract_x
_atom_site_fract_y
_atom_site_fract_z
Os1 Os 0.000 0.000 0.000
Cd1 Cd 0.750 0.750 0.750
Be1 Be 0.250 0.250 0.250


# Pm5Te6 | OQMD via LeMat-Bulk | PBE | optimized geometry
# DFT total energy   -5.34 eV/atom
# Calculated density   6.7 Mg/m³
# Symmetry   C2/m
data_Pm5Te6
_symmetry_space_group_name_H-M 'P 1'
_symmetry_Int_Tables_number 1
_symmetry_space_group_name_Hall 'P 1'
_cell_length_a 7.674
_cell_length_b 7.674
_cell_length_c 7.673
_cell_angle_alpha 99.66
_cell_angle_beta 99.66
_cell_angle_gamma 119.83
loop_
_atom_site_label
_atom_site_type_symbol
_atom_site_fract_x
_atom_site_fract_y
_atom_site_fract_z
Pm1 Pm 0.336 0.664 0.000
Te1 Te 0.080 0.403 0.243
Pm2 Pm 0.664 0.336 0.000
Pm3 Pm 0.500 0.500 0.500
Pm4 Pm 0.831 0.169 0.500
Te2 Te 0.403 0.080 0.243
Te3 Te 0.241 0.241 0.755
Te4 Te 0.759 0.759 0.245
Pm5 Pm 0.169 0.831 0.500
Te5 Te 0.597 0.920 0.757
Te6 Te 0.920 0.597 0.757